# 1
A relaxed structure of Ho2ErNi. Source: Alexandria via LeMat-Bulk, functional GGA-PBE.

Magnetic moment: 0.0 μB/f.u.
Crystal system: trigonal
Energy relative to the elements: -0.32 eV/f.u.
Final energy: -4.96 eV per atom
Relative energy among the computed polymorphs: 0.72 eV per formula unit

a b c (Å): 3.6134 3.6134 9.6178
angles (deg): 79.17 79.17 60.00
With the nearest neighbours (Å) after each atom.
Positions (direct):
1 Ni 0.0000 0.0000 0.0000  6 Ho 2.71
2 Ho 0.2717 0.2717 0.1850  3 Ni 2.71
3 Ho 0.7283 0.7283 0.8150  3 Ni 2.71
4 Er 0.5000 0.5000 0.5000  6 Er 3.61, 6 Ho 3.62

# 2
A relaxed structure of Pr2PaCo2N6. Source: Alexandria via LeMat-Bulk, functional GGA-PBE.

Magnetic moment: 2.1 μB/f.u.
Crystal system: trigonal
Uncorrected formation energy: -0.574 eV per atom
Final energy: -8.14 eV per atom

a b c (Å): 5.6431 5.6431 6.6578
angles (deg): 64.93 64.93 60.00
With the nearest neighbours (Å) after each atom.
Positions (direct):
1 Pr 0.7888 0.7888 0.6337  9 N 2.60-2.87
2 Pr 0.2112 0.2112 0.3663  9 N 2.60-2.87
3 Pa 0.0000 0.0000 0.0000  6 N 2.25
4 Co 0.4042 0.4042 0.7875  3 N 1.73
5 Co 0.5958 0.5958 0.2125  3 N 1.73
6 N 0.7465 0.7465 0.2775  1 Co 1.73
7 N 0.2295 0.7465 0.2775  1 Co 1.73
8 N 0.7465 0.2295 0.2775  1 Co 1.73
9 N 0.2535 0.7705 0.7225  1 Co 1.73
10 N 0.7705 0.2535 0.7225  1 Co 1.73
11 N 0.2535 0.2535 0.7225  1 Co 1.73

# 3
A relaxed structure of NbCdAsO6. Source: Alexandria via LeMat-Bulk, functional GGA-PBE.

Magnetic moment: 0.0 μB/f.u.
Crystal system: trigonal
Uncorrected formation energy: -1.681 eV per atom
Final energy: -6.72 eV per atom

a b c (Å): 5.1865 5.1865 9.7140
angles (deg): 90.00 90.00 120.00
With the nearest neighbours (Å) after each atom.
Positions (direct):
1 Nb 0.6667 0.3333 0.2500  6 O 2.02
2 Nb 0.3333 0.6667 0.7500  6 O 2.02
3 Cd 0.0000 0.0000 0.0000  6 O 2.38
4 Cd 0.0000 0.0000 0.5000  6 O 2.38
5 As 0.3333 0.6667 0.2500  6 O 1.87
6 As 0.6667 0.3333 0.7500  6 O 1.87
7 O 0.6163 0.6382 0.1421  1 As 1.87, 1 Nb 2.02
8 O 0.0219 0.3837 0.1421  1 As 1.87, 1 Nb 2.02
9 O 0.3837 0.0219 0.6421  1 As 1.87, 1 Nb 2.02
10 O 0.9781 0.6163 0.8579  1 As 1.87, 1 Nb 2.02
11 O 0.3618 0.3837 0.3579  1 As 1.87, 1 Nb 2.02
12 O 0.0219 0.6382 0.3579  1 As 1.87, 1 Nb 2.02
13 O 0.6382 0.0219 0.8579  1 As 1.87, 1 Nb 2.02
14 O 0.6163 0.9781 0.3579  1 As 1.87, 1 Nb 2.02
15 O 0.9781 0.3618 0.6421  1 As 1.87, 1 Nb 2.02
16 O 0.3618 0.9781 0.1421  1 As 1.87, 1 Nb 2.02
17 O 0.6382 0.6163 0.6421  1 As 1.87, 1 Nb 2.02
18 O 0.3837 0.3618 0.8579  1 As 1.87, 1 Nb 2.02

# 4
A relaxed structure of CaMnRh3. Source: Alexandria via LeMat-Bulk, functional GGA-PBE.

Magnetic moment: 0.0 μB/f.u.
Crystal system: cubic
Energy relative to the elements: 1.37 eV/f.u.
Final energy: -6.37 eV per atom
Relative energy among the computed polymorphs: 0.00 eV per formula unit

a b c (Å): 4.5233 4.5233 4.5233
angles (deg): 90.00 90.00 90.00
With the nearest neighbours (Å) after each atom.
Positions (direct):
1 Ca 0.5000 0.5000 0.5000  12 Rh 3.20
2 Mn 0.0000 0.0000 0.0000  6 Rh 2.26
3 Rh 0.0000 0.5000 0.0000  2 Mn 2.26
4 Rh 0.0000 0.0000 0.5000  2 Mn 2.26
5 Rh 0.5000 0.0000 0.0000  2 Mn 2.26